Record 1
Material: NdHf4Se8
Method: DFT, GGA-PBE
State: relaxed

Values from the calculation:
Total magnetization (μB per formula unit): 0.00
Total DFT energy (no corrections) (eV per atom): -6.995

a = 8.1698 Å, b = 8.1698 Å, c = 8.1698 Å
α = 54.93°, β = 54.93°, γ = 54.93°
Atoms (fractional coordinates):
Nd 0.0000 0.0000 0.0000
Hf 0.0000 0.0000 0.5000
Hf 0.0000 0.5000 0.0000
Hf 0.5000 0.0000 0.0000
Hf 0.5000 0.5000 0.5000
Se 0.2422 0.2422 0.2422
Se 0.2545 0.7397 0.7397
Se 0.2603 0.2603 0.7455
Se 0.2603 0.7455 0.2603
Se 0.7397 0.2545 0.7397
Se 0.7397 0.7397 0.2545
Se 0.7455 0.2603 0.2603
Se 0.7578 0.7578 0.7578

***

Record 2
Material: BaNaB2Os
Method: DFT, GGA-PBE
State: relaxed

Values from the calculation:
Energy of formation from the pure elements (eV/f.u.): 13.877
Total magnetization (μB per formula unit): 1.22
Total DFT energy (no corrections) (eV per atom): -2.790

a = 5.1778 Å, b = 5.1778 Å, c = 5.3454 Å
α = 90.00°, β = 90.00°, γ = 90.00°
Atoms (fractional coordinates):
Ba 0.0000 0.0000 0.0000
Na 0.5000 0.5000 0.5000
B 0.0000 0.5000 0.0000
B 0.5000 0.0000 0.0000
Os 0.0000 0.0000 0.5000

***

Record 3
Material: K2Bi2Pd
Method: DFT, GGA-PBE
State: relaxed

Values from the calculation:
Energy of formation from the pure elements (eV/f.u.): -1.500
Total magnetization (μB per formula unit): 0.00
Total DFT energy (no corrections) (eV per atom): -3.330

a = 7.3781 Å, b = 7.3781 Å, c = 5.9446 Å
α = 90.00°, β = 90.00°, γ = 90.00°
Atoms (fractional coordinates):
K 0.1683 0.3317 0.0000
K 0.3317 0.8317 0.0000
K 0.6683 0.1683 0.0000
K 0.8317 0.6683 0.0000
Bi 0.1501 0.6501 0.5000
Bi 0.3499 0.1501 0.5000
Bi 0.6501 0.8499 0.5000
Bi 0.8499 0.3499 0.5000
Pd 0.0000 0.0000 0.5000
Pd 0.5000 0.5000 0.5000

***

Record 4
Material: LaHfCl3
Method: DFT, GGA-PBE
State: relaxed

Values from the calculation:
Total magnetization (μB per formula unit): 2.00
Total DFT energy (no corrections) (eV per atom): -4.696

a = 5.6081 Å, b = 5.6081 Å, c = 5.6081 Å
α = 90.00°, β = 90.00°, γ = 90.00°
Atoms (fractional coordinates):
La 0.0000 0.0000 0.0000
Hf 0.5000 0.5000 0.5000
Cl 0.0000 0.0000 0.5000
Cl 0.0000 0.5000 0.0000
Cl 0.5000 0.0000 0.0000

***

Record 5
Material: Tb4Ga2Ni
Method: DFT, GGA-PBE
State: relaxed

Values from the calculation:
Energy of formation from the pure elements (eV/f.u.): -2.313
Total magnetization (μB per formula unit): 0.00
Total DFT energy (no corrections) (eV per atom): -4.667

a = 8.4405 Å, b = 8.4405 Å, c = 6.1007 Å
α = 110.56°, β = 110.56°, γ = 25.76°
Atoms (fractional coordinates):
Tb 0.0894 0.0894 0.4400
Tb 0.3684 0.3684 0.0119
Tb 0.6316 0.6316 0.9881
Tb 0.9106 0.9106 0.5600
Ga 0.2612 0.2612 0.3488
Ga 0.7388 0.7388 0.6512
Ni 0.0000 0.0000 0.0000

***

Record 6
Material: TePd2Au
Method: DFT, GGA-PBE
State: relaxed

Values from the calculation:
Total magnetization (μB per formula unit): 0.00
Total DFT energy (no corrections) (eV per atom): -4.324

a = 4.7787 Å, b = 4.7787 Å, c = 3.2095 Å
α = 90.00°, β = 90.00°, γ = 90.00°
Atoms (fractional coordinates):
Te 0.0000 0.0000 0.0000
Pd 0.0000 0.5000 0.5000
Pd 0.5000 0.0000 0.5000
Au 0.5000 0.5000 0.0000

***

Record 7
Material: BaBrCl2
Method: DFT, GGA-PBE
State: relaxed

Values from the calculation:
Total magnetization (μB per formula unit): 0.99
Total DFT energy (no corrections) (eV per atom): -3.378
Offset from the most stable computed form (kJ/mol of formula units): 57

a = 5.0351 Å, b = 5.0351 Å, c = 4.5061 Å
α = 90.00°, β = 90.00°, γ = 90.00°
Atoms (fractional coordinates):
Ba 0.0000 0.0000 0.0000
Br 0.5000 0.5000 0.0000
Cl 0.0000 0.5000 0.5000
Cl 0.5000 0.0000 0.5000

***

Record 8
Material: Li6La7
Method: DFT, GGA-PBE
State: relaxed

Values from the calculation:
Energy of formation from the pure elements (eV/f.u.): 4.247
Total magnetization (μB per formula unit): 0.00
Total DFT energy (no corrections) (eV per atom): -3.210

a = 10.5531 Å, b = 10.5531 Å, c = 10.5531 Å
α = 39.10°, β = 39.10°, γ = 39.10°
Atoms (fractional coordinates):
Li 0.0456 0.0456 0.0456
Li 0.1407 0.1407 0.1407
Li 0.3358 0.3358 0.3358
Li 0.6642 0.6642 0.6642
Li 0.8593 0.8593 0.8593
Li 0.9544 0.9544 0.9544
La 0.0695 0.6056 0.6056
La 0.3944 0.3944 0.9305
La 0.3944 0.9305 0.3944
La 0.5000 0.5000 0.5000
La 0.6056 0.0695 0.6056
La 0.6056 0.6056 0.0695
La 0.9305 0.3944 0.3944